The following is a DFT calculation (GGA-PBE) of an optimized crystal structure of LiAl2Cl.

Lattice parameters (Å, degrees): 5.4615 5.4615 3.0732 90.00 90.00 120.53
Fractional coordinates of all 4 atoms:
Li 0.0000 0.0000 0.0000
Al 0.0000 0.5000 0.5000
Al 0.5000 0.0000 0.5000
Cl 0.5000 0.5000 0.0000

Calculated values
* symmetry: No. 65
* offset from the most stable computed form: 147 kJ/mol of formula units
* Fermi-level density of states: 1.19 states/eV/f.u.

The following is a DFT calculation (GGA-PBE) of an optimized crystal structure of Na2LiZnH4.

Lattice parameters (Å, degrees): 5.1213 5.1213 5.1213 116.19 116.19 96.74
Fractional coordinates of all 8 atoms:
Na 0.0000 0.0000 0.0000
Na 0.7500 0.2500 0.5000
Li 0.5000 0.5000 0.0000
Zn 0.2500 0.7500 0.5000
H 0.2615 0.7159 0.8262
H 0.2841 0.1103 0.5456
H 0.5647 0.7385 0.4544
H 0.8897 0.4353 0.1738

Calculated values
* symmetry: No. 82
* Fermi-level density of states: 1.57 states/eV/f.u.

The following is a DFT calculation (GGA-PBE) of an optimized crystal structure of AcMgH.

Lattice parameters (Å, degrees): 4.0306 4.0306 5.8397 90.00 90.00 120.00
Fractional coordinates of all 3 atoms:
Ac 0.0000 0.0000 0.0000
Mg 0.3333 0.6667 0.4961
H 0.6667 0.3333 0.0530

Calculated values
* symmetry: No. 156
* offset from the most stable computed form: 45 kJ/mol of formula units
* Fermi-level density of states: 1.37 states/eV/f.u.

The following is a DFT calculation (GGA-PBE) of an optimized crystal structure of Cs3PmDy2S6.

Lattice parameters (Å, degrees): 7.1774 7.1774 8.4228 98.17 98.17 120.00
Fractional coordinates of all 12 atoms:
Cs 0.0000 0.0000 0.0000
Cs 0.3342 0.6658 0.0000
Cs 0.6658 0.3342 0.0000
Pm 0.5000 0.5000 0.5000
Dy 0.1667 0.8333 0.5000
Dy 0.8333 0.1667 0.5000
S 0.0991 0.4390 0.3171
S 0.2210 0.2210 0.6826
S 0.4390 0.0991 0.3171
S 0.5610 0.9009 0.6829
S 0.7790 0.7790 0.3174
S 0.9009 0.5610 0.6829

Calculated values
* symmetry: No. 12
* Fermi-level density of states: 0.00 states/eV/f.u.

The following is a DFT calculation (GGA-PBE) of an optimized crystal structure of TbNdDyY.

Lattice parameters (Å, degrees): 5.7205 5.7205 5.7205 60.00 60.00 60.00
Fractional coordinates of all 4 atoms:
Tb 0.0000 0.0000 0.0000
Nd 0.5000 0.5000 0.5000
Dy 0.2500 0.2500 0.2500
Y 0.7500 0.7500 0.7500

Calculated values
* symmetry: No. 216
* offset from the most stable computed form: 42 kJ/mol of formula units
* Fermi-level density of states: 8.56 states/eV/f.u.

The following is a DFT calculation (GGA-PBE) of an optimized crystal structure of BaGd2Al.

Lattice parameters (Å, degrees): 11.9166 11.9166 11.9166 17.71 17.71 17.71
Fractional coordinates of all 4 atoms:
Ba 0.0000 0.0000 0.0000
Gd 0.1046 0.1046 0.1046
Gd 0.8954 0.8954 0.8954
Al 0.5000 0.5000 0.5000

Calculated values
* symmetry: No. 166
* offset from the most stable computed form: 76 kJ/mol of formula units
* Fermi-level density of states: 4.38 states/eV/f.u.

The following is a DFT calculation (GGA-PBE) of an optimized crystal structure of Ac2PrHo2.

Lattice parameters (Å, degrees): 6.5885 6.0229 9.9830 90.00 108.64 90.00
Fractional coordinates of all 10 atoms:
Ac 0.0629 0.2500 0.3153
Ac 0.1419 0.7500 0.1036
Ac 0.8581 0.2500 0.8964
Ac 0.9371 0.7500 0.6847
Pr 0.2802 0.2500 0.7043
Pr 0.7198 0.7500 0.2957
Ho 0.3536 0.7500 0.5071
Ho 0.4694 0.2500 0.0991
Ho 0.5306 0.7500 0.9009
Ho 0.6464 0.2500 0.4929

Calculated values
* symmetry: No. 11
* Fermi-level density of states: 7.84 states/eV/f.u.

The following is a DFT calculation (GGA-PBE) of an optimized crystal structure of EuTmTh.

Lattice parameters (Å, degrees): 8.2215 8.2215 8.2215 154.67 154.67 36.13
Fractional coordinates of all 3 atoms:
Eu 0.0000 0.0000 0.0000
Tm 0.6798 0.6798 0.0000
Th 0.3278 0.3278 0.0000

Calculated values
* symmetry: No. 107
* offset from the most stable computed form: 3 kJ/mol of formula units
* Fermi-level density of states: 4.05 states/eV/f.u.

The following is a DFT calculation (GGA-PBE) of an optimized crystal structure of Cs2LiCrI6.

Lattice parameters (Å, degrees): 8.2721 8.2721 7.0727 90.00 90.00 120.00
Fractional coordinates of all 10 atoms:
Cs 0.3333 0.6667 0.2771
Cs 0.6667 0.3333 0.7229
Li 0.0000 0.0000 0.0000
Cr 0.0000 0.0000 0.5000
I 0.1570 0.3141 0.7288
I 0.1570 0.8430 0.7288
I 0.3141 0.1570 0.2712
I 0.6859 0.8430 0.7288
I 0.8430 0.1570 0.2712
I 0.8430 0.6859 0.2712

Calculated values
* symmetry: No. 164
* offset from the most stable computed form: 0 kJ/mol of formula units

The following is a DFT calculation (GGA-PBE) of an optimized crystal structure of PmPr4Rh2.

Lattice parameters (Å, degrees): 9.8105 9.8105 9.8105 30.43 30.43 30.43
Fractional coordinates of all 7 atoms:
Pm 0.0000 0.0000 0.0000
Pr 0.2033 0.2033 0.2033
Pr 0.3973 0.3973 0.3973
Pr 0.6027 0.6027 0.6027
Pr 0.7967 0.7967 0.7967
Rh 0.0999 0.0999 0.0999
Rh 0.9001 0.9001 0.9001

Calculated values
* symmetry: No. 166
* offset from the most stable computed form: 62 kJ/mol of formula units
* Fermi-level density of states: 7.84 states/eV/f.u.

The following is a DFT calculation (GGA-PBE) of an optimized crystal structure of ScTi2Rh2.

Lattice parameters (Å, degrees): 6.0761 6.0761 6.0761 139.99 139.99 57.87
Fractional coordinates of all 5 atoms:
Sc 0.0000 0.0000 0.0000
Ti 0.2500 0.7500 0.5000
Ti 0.7500 0.2500 0.5000
Rh 0.3811 0.3811 0.0000
Rh 0.6189 0.6189 0.0000

Calculated values
* symmetry: No. 139
* offset from the most stable computed form: 15 kJ/mol of formula units
* Fermi-level density of states: 7.51 states/eV/f.u.

The following is a DFT calculation (GGA-PBE) of an optimized crystal structure of TcPbW2.

Lattice parameters (Å, degrees): 4.9446 4.9446 5.0169 103.31 103.31 37.02
Fractional coordinates of all 4 atoms:
Tc 0.0000 0.0000 0.0000
Pb 0.7661 0.7661 0.2878
W 0.2674 0.2674 0.7906
W 0.5371 0.5371 0.5830

Calculated values
* symmetry: No. 8
* Fermi-level density of states: 2.56 states/eV/f.u.

no.,final energy (eV per atom),spin magnetization (μB per formula unit)
1,-2.928,0.00
2,-2.431,0.00
3,-3.072,0.00
4,-5.267,0.00
5,-4.989,0.00
6,-8.344,14.71
7,-4.376,0.00
8,-7.295,7.55
9,-3.292,2.96
10,-5.757,0.00
11,-7.932,0.00
12,-9.304,0.00